Entry from Alexandria: crystalline ScNi2Au at its relaxed geometry (PBEsol).

a = 4.5345 Å, b = 4.5345 Å, c = 4.5345 Å
α = 128.39°, β = 128.39°, γ = 75.99°
Element x y z (fractional)
Sc1 0.0000 0.0000 0.0000
Ni1 0.2500 0.7500 0.5000
Ni2 0.7500 0.2500 0.5000
Au1 0.5000 0.5000 0.0000

Results
- theoretical density (g cm⁻³) = 10.714
- N(E_F) (states/eV per cell) = 1.4
- energy of formation from the pure elements (eV per atom) = -0.469
- electronic total energy (eV per cell) = -24.7

---

Entry from Alexandria: crystalline NiAu4Se at its relaxed geometry (PBEsol).

a = 5.3641 Å, b = 5.3641 Å, c = 5.3641 Å
α = 60.00°, β = 60.00°, γ = 60.00°
Element x y z (fractional)
Ni1 0.0000 0.0000 0.0000
Au1 0.3747 0.3747 0.3747
Au2 0.3747 0.3747 0.8760
Au3 0.3747 0.8760 0.3747
Au4 0.8760 0.3747 0.3747
Se1 0.7500 0.7500 0.7500

Results
- theoretical density (g cm⁻³) = 14.082
- N(E_F) (states/eV per cell) = 4.5
- formation energy (no corrections) (meV per atom) = 490
- electronic total energy (eV per cell) = -22.8

---

Entry from Alexandria: crystalline NiAu2Se at its relaxed geometry (PBEsol).

a = 4.8507 Å, b = 4.8507 Å, c = 4.8507 Å
α = 131.03°, β = 131.03°, γ = 71.76°
Element x y z (fractional)
Ni1 0.0000 0.0000 0.0000
Au1 0.2500 0.7500 0.5000
Au2 0.5000 0.5000 0.0000
Se1 0.7500 0.2500 0.5000

Results
- theoretical density (g cm⁻³) = 13.893
- N(E_F) (states/eV per cell) = 3.6
- formation energy (no corrections) (meV per atom) = 294
- electronic total energy (eV per cell) = -16.7

---

Entry from Alexandria: crystalline NiAu2Se at its relaxed geometry (PBEsol).

a = 3.8297 Å, b = 3.8297 Å, c = 4.3699 Å
α = 90.00°, β = 90.00°, γ = 90.00°
Element x y z (fractional)
Ni1 0.0000 0.0000 0.0000
Au1 0.0000 0.5000 0.5000
Au2 0.5000 0.0000 0.5000
Se1 0.5000 0.5000 0.0000

Results
- theoretical density (g cm⁻³) = 13.773
- N(E_F) (states/eV per cell) = 3.5
- formation energy (no corrections) (meV per atom) = 263
- electronic total energy (eV per cell) = -16.8

---

What did we get for total magnetic moment? Answer: 0.00, 0.00, 0.01, 0.00 μB/cell, in the order shown.